PrFeAs2O8 | GGA+U | relaxed

```
12
Lattice="5.961 -0.023 0.000 -2.665 5.332 0.000 -1.648 -2.655 5.077" Properties=species:S:1:pos:R:3 pbc="T T T"
O 0.266 2.248 0.960
O 4.353 0.547 1.667
Fe -1.332 2.666 2.538
As 1.648 2.655 0.000
Pr 0.000 0.000 0.000
O 2.873 1.467 3.410
O 3.030 3.061 0.960
O 1.608 -0.571 1.667
O 0.249 -1.419 4.117
O 3.088 -1.490 3.410
As 2.981 -0.012 2.538
O -0.249 1.419 4.117
```

Total magnetization: 5.05 Bohr magnetons per cell
DOS at the Fermi energy: 0.00 states/eV/cell
Volume: 13.42 A^3/atom
Space-group type: I-4m2
VASP energy: -6.628 eV per atom